A relaxed structure of CrCdRu2F. Source: Alexandria via LeMat-Bulk, functional GGA+U.

Structure (POSCAR):
```
CrCdRu2F
1.0
4.357 0.000 0.000
0.000 4.357 0.000
0.000 0.000 3.944
Cr Cd Ru F
1 1 2 1
Cartesian
0.000 0.000 0.000
2.179 2.179 0.000
0.000 2.179 1.972
2.179 0.000 1.972
0.000 0.000 1.972
```

## Properties
- D(E_F): 8.044 states/eV/cell
- Total magnetic moment: 1.2 μB per cell
- E: -4.7648 eV/atom